[1]
Below is a relaxed CrAs2W crystal, with properties calculated at the PBE level.

Properties
Spin magnetization = 1.7 μB per cell
Energy of formation = 0.057 eV/atom
Raw total energy = -31.65 eV per formula unit

a = 3.286 Å, b = 3.286 Å, c = 5.785 Å
α = 90.00°, β = 90.00°, γ = 90.00°
Last column: magnetic moment on the atom in μB.
Sites, in units of the cell vectors:
W1 0.500 0.500 0.767  -0.25
Cr1 0.000 0.000 0.465  2.09
As1 0.500 0.500 0.306  -0.10
As2 0.000 0.000 0.962  -0.01

[2]
Below is a relaxed CrAsW2 crystal, with properties calculated at the PBE level.

Properties
Spin magnetization = 0.0 μB per cell
Energy of formation = 0.373 eV/atom
Raw total energy = -38.69 eV per formula unit

a = 2.892 Å, b = 4.036 Å, c = 5.111 Å
α = 90.00°, β = 90.00°, γ = 90.00°
Sites, in units of the cell vectors:
As1 0.500 0.500 0.250
Cr1 0.500 0.500 0.750
W1 0.000 0.000 0.504
W2 0.000 0.000 0.996

[3]
Below is a relaxed CrAsW2 crystal, with properties calculated at the PBE level.

Properties
Spin magnetization = 5.6 μB per cell
Energy of formation = 0.690 eV/atom
Raw total energy = -37.42 eV per formula unit

a = 3.753 Å, b = 3.753 Å, c = 9.818 Å
α = 78.98°, β = 78.98°, γ = 90.00°
Last column: magnetic moment on the atom in μB.
Sites, in units of the cell vectors:
Cr1 0.500 0.500 0.000  2.66
Cr2 0.250 0.750 0.500  2.66
W1 0.375 0.373 0.750  0.00
W2 0.875 0.877 0.750  -0.01
W3 0.627 0.125 0.250  0.00
W4 0.123 0.625 0.250  0.00
As1 0.750 0.250 0.500  -0.03
As2 0.000 0.000 0.000  -0.03